Density functional theory data (PBE-GGA) for an optimized crystal structure of Ag2As2Se5.

- distance to the lowest polymorph of the same formula (meV/atom) = 0
- E_form (uncorrected) (eV/atom) = -0.03

Lattice parameters (Å, degrees): 3.6104 6.9530 11.2482 114.36 99.24 90.00
Closest atoms and distances in Å follow each position.
Sites, in units of the cell vectors:
As 0.1019 0.7039 0.2038  3 Se 2.43-2.48
As 0.8981 0.2961 0.7962  3 Se 2.43-2.48
Ag 0.4099 0.7744 0.8197  4 Se 2.62-2.66
Ag 0.5901 0.2256 0.1803  4 Se 2.62-2.66
Se 0.0000 0.0000 0.0000  4 Ag 2.66
Se 0.8350 0.5105 0.6700  1 As 2.43, 2 Ag 2.62
Se 0.1650 0.4895 0.3300  1 As 2.43, 2 Ag 2.62
Se 0.3354 0.0498 0.6707  2 As 2.48
Se 0.6646 0.9502 0.3293  2 As 2.48